The following is a PBE calculation of an optimized crystal structure of La3PdBr3, from Alexandria.

The spin magnetization is 0.00 μB/cell. The crystal system is cubic. Its uncorrected formation energy is -1.399 eV per atom.

It has space group I4_132 (No. 214), with a = 12.316 Å, b = 12.316 Å, c = 12.316 Å, α = 90.00°, β = 90.00° and γ = 90.00°. Symmetry generates all atoms from La at (0.113, 0.363, 0.125), Pd at (0.125, 0.125, 0.125) and Br at (0.119, 0.131, 0.625).